Below is a geometry-optimized Ca2CdPb2 structure, with properties calculated at the PBE level.

Results
Its mass density is 6.6 Mg/m³. For the energy above the most stable polymorph in this dataset, the calculation gives 26 meV per atom. The value obtained for the formation energy is -0.381 eV/atom. The uncorrected energy is -2.8479 eV/atom. Its total magnetic moment is 0.0 μB/cell.

Lattice parameters (Å, degrees): 8.034 8.034 4.750 90.00 90.00 90.00
Element x y z (fractional)
Ca  0.167  0.333  0.000
Ca  0.333  0.833  0.000
Ca  0.667  0.167  0.000
Ca  0.833  0.667  0.000
Cd  0.000  0.000  0.500
Cd  0.500  0.500  0.500
Pb  0.137  0.637  0.500
Pb  0.363  0.137  0.500
Pb  0.637  0.863  0.500
Pb  0.863  0.363  0.500

Below is a geometry-optimized Ca4CdPb2 structure, with properties calculated at the PBE level.

Results
Its mass density is 4.3 Mg/m³. For the energy above the most stable polymorph in this dataset, the calculation gives 376 meV per atom. The value obtained for the formation energy is -0.123 eV/atom. The uncorrected energy is -2.4571 eV/atom. Its total magnetic moment is 0.0 μB/cell.

Lattice parameters (Å, degrees): 8.895 8.895 8.895 141.96 141.96 54.89
Element x y z (fractional)
Ca  0.000  0.500  0.500
Ca  0.193  0.193  0.000
Ca  0.500  0.000  0.500
Ca  0.807  0.807  0.000
Cd  0.000  0.000  0.000
Pb  0.391  0.391  0.000
Pb  0.609  0.609  0.000

Below is a geometry-optimized Ca2Cd2Pb structure, with properties calculated at the PBE level.

Results
Its mass density is 5.6 Mg/m³. For the energy above the most stable polymorph in this dataset, the calculation gives 209 meV per atom. The value obtained for the formation energy is -0.184 eV/atom. The uncorrected energy is -2.0925 eV/atom. Its total magnetic moment is 0.0 μB/cell.

Lattice parameters (Å, degrees): 8.804 8.804 3.905 90.00 90.00 90.00
Element x y z (fractional)
Ca  0.160  0.340  0.000
Ca  0.340  0.840  0.000
Ca  0.660  0.160  0.000
Ca  0.840  0.660  0.000
Cd  0.135  0.635  0.500
Cd  0.365  0.135  0.500
Cd  0.635  0.865  0.500
Cd  0.865  0.365  0.500
Pb  0.000  0.000  0.000
Pb  0.500  0.500  0.000

Below is a geometry-optimized CaCd2Pb3 structure, with properties calculated at the PBE level.

Results
Its mass density is 8.7 Mg/m³. The value obtained for the formation energy is -0.166 eV/atom. The uncorrected energy is -2.6586 eV/atom. Its total magnetic moment is 0.0 μB/cell.

Lattice parameters (Å, degrees): 7.823 7.823 4.553 90.00 90.00 142.69
Element x y z (fractional)
Ca  0.000  0.000  0.000
Cd  0.334  0.666  0.000
Cd  0.666  0.334  0.000
Pb  0.173  0.827  0.500
Pb  0.500  0.500  0.500
Pb  0.827  0.173  0.500

Below is a geometry-optimized Ca3CdPb2 structure, with properties calculated at the PBE level.

Results
Its mass density is 6.0 Mg/m³. For the energy above the most stable polymorph in this dataset, the calculation gives 3 meV per atom. The value obtained for the formation energy is -0.487 eV/atom. The uncorrected energy is -2.8763 eV/atom. Its total magnetic moment is 0.0 μB/cell.

Lattice parameters (Å, degrees): 3.772 3.772 12.493 90.00 90.00 90.00
Element x y z (fractional)
Ca  0.000  0.000  0.000
Ca  0.000  0.000  0.343
Ca  0.000  0.000  0.657
Cd  0.500  0.500  0.500
Pb  0.500  0.500  0.176
Pb  0.500  0.500  0.824

Below is a geometry-optimized Ca2Cd2Pb structure, with properties calculated at the PBE level.

Results
Its mass density is 5.5 Mg/m³. For the energy above the most stable polymorph in this dataset, the calculation gives 147 meV per atom. The value obtained for the formation energy is -0.246 eV/atom. The uncorrected energy is -2.1547 eV/atom. Its total magnetic moment is 0.0 μB/cell.

Lattice parameters (Å, degrees): 10.092 10.092 10.092 157.15 157.15 32.53
Element x y z (fractional)
Ca  0.102  0.102  0.000
Ca  0.898  0.898  0.000
Cd  0.250  0.750  0.500
Cd  0.750  0.250  0.500
Pb  0.500  0.500  0.000